Computed, not measured: a geometry-optimized CrMoO2 structure at the PBE+U level of DFT.

a = 5.7697 Å, b = 5.7697 Å, c = 5.7697 Å
α = 130.46°, β = 130.46°, γ = 72.67°
Element x y z (fractional)
Cr1 0.0000 0.0000 0.0000
Cr2 0.7500 0.2500 0.5000
Mo1 0.2500 0.7500 0.5000
Mo2 0.5000 0.5000 0.0000
O1 0.1085 0.6250 0.9835
O2 0.3750 0.3585 0.4835
O3 0.6415 0.1250 0.0165
O4 0.8750 0.8915 0.5165

Calculated values
* space group: I-42d (122)
* VASP energy: -6.5588 eV/atom

---

Computed, not measured: a geometry-optimized Cr3MoO structure at the PBE+U level of DFT.

a = 4.3016 Å, b = 4.3016 Å, c = 4.3016 Å
α = 90.00°, β = 90.00°, γ = 90.00°
Element x y z (fractional)
Cr1 0.0000 0.0000 0.5000
Cr2 0.0000 0.5000 0.0000
Cr3 0.5000 0.0000 0.0000
Mo1 0.5000 0.5000 0.5000
O1 0.0000 0.0000 0.0000

Calculated values
* space group: Pm-3m (221)
* VASP energy: -6.8827 eV/atom

---

Computed, not measured: a geometry-optimized CrMoO3 structure at the PBE+U level of DFT.

a = 3.8046 Å, b = 3.8046 Å, c = 3.8046 Å
α = 90.00°, β = 90.00°, γ = 90.00°
Element x y z (fractional)
Cr1 0.0000 0.0000 0.0000
Mo1 0.5000 0.5000 0.5000
O1 0.0000 0.0000 0.5000
O2 0.0000 0.5000 0.0000
O3 0.5000 0.0000 0.0000

Calculated values
* space group: Pm-3m (221)
* VASP energy: -6.8322 eV/atom

---

Which value of VASP energy does entry 1 give? -6.5588 eV/atom

---

What is the VASP energy in the first record? -6.5588 eV/atom